(1)
A relaxed Ca2DyAgO4 crystal. Source: Alexandria, functional GGA-PBE. Values from VASP.

Results
The calculation puts the raw formation energy at -2505 meV/atom.

Geometry as Quantum ESPRESSO input:
```
&SYSTEM
  ibrav = 0, nat = 8, ntyp = 4
/
ATOMIC_SPECIES
Ca 40.08 Ca.upf
Dy 162.50 Dy.upf
Ag 107.87 Ag.upf
O 16.00 O.upf
CELL_PARAMETERS angstrom
5.900 0.000 0.000
0.000 3.450 0.000
-1.915 0.000 5.598
ATOMIC_POSITIONS crystal
Ca 0.000 0.000 0.000
Ca 0.500 0.500 0.000
Dy 0.000 0.500 0.500
Ag 0.500 0.000 0.500
O 0.219 0.500 0.236
O 0.225 0.000 0.746
O 0.775 0.000 0.254
O 0.781 0.500 0.764
```

(2)
A relaxed CaDyAgPb crystal. Source: Alexandria, functional GGA-PBE. Values from VASP.

Results
For the energy of formation from the pure elements, the calculation gives -0.443 eV per atom.

Geometry as Quantum ESPRESSO input:
```
&SYSTEM
  ibrav = 0, nat = 4, ntyp = 4
/
ATOMIC_SPECIES
Ca 40.08 Ca.upf
Dy 162.50 Dy.upf
Ag 107.87 Ag.upf
Pb 207.20 Pb.upf
CELL_PARAMETERS angstrom
0.000 3.768 3.768
3.768 0.000 3.768
3.768 3.768 0.000
ATOMIC_POSITIONS crystal
Ca 0.000 0.000 0.000
Dy 0.500 0.500 0.500
Ag 0.750 0.750 0.750
Pb 0.250 0.250 0.250
```

(3)
A relaxed CaDyAgSb crystal. Source: Alexandria, functional GGA-PBE. Values from VASP.

Results
The calculation puts the raw formation energy at -559 meV/atom.

Geometry as Quantum ESPRESSO input:
```
&SYSTEM
  ibrav = 0, nat = 4, ntyp = 4
/
ATOMIC_SPECIES
Ca 40.08 Ca.upf
Dy 162.50 Dy.upf
Ag 107.87 Ag.upf
Sb 121.76 Sb.upf
CELL_PARAMETERS angstrom
0.000 3.730 3.730
3.730 0.000 3.730
3.730 3.730 0.000
ATOMIC_POSITIONS crystal
Ca 0.000 0.000 0.000
Dy 0.500 0.500 0.500
Ag 0.750 0.750 0.750
Sb 0.250 0.250 0.250
```

(4)
A relaxed Ca2DyAgSe4 crystal. Source: Alexandria, functional GGA-PBE. Values from VASP.

Results
The calculation puts the raw formation energy at -1570 meV/atom.

Geometry as Quantum ESPRESSO input:
```
&SYSTEM
  ibrav = 0, nat = 8, ntyp = 4
/
ATOMIC_SPECIES
Ca 40.08 Ca.upf
Dy 162.50 Dy.upf
Ag 107.87 Ag.upf
Se 78.96 Se.upf
CELL_PARAMETERS angstrom
7.183 0.000 0.000
0.000 4.174 0.000
-2.439 0.000 6.786
ATOMIC_POSITIONS crystal
Ca 0.000 0.000 0.000
Ca 0.000 0.500 0.500
Dy 0.500 0.000 0.500
Ag 0.500 0.500 0.000
Se 0.255 0.500 0.260
Se 0.259 0.000 0.748
Se 0.741 0.000 0.252
Se 0.745 0.500 0.740
```

(5)
A relaxed CaDyAgSe3 crystal. Source: Alexandria, functional GGA-PBE. Values from VASP.

Results
The calculation puts the raw formation energy at -1460 meV/atom.

Geometry as Quantum ESPRESSO input:
```
&SYSTEM
  ibrav = 0, nat = 12, ntyp = 4
/
ATOMIC_SPECIES
Ca 40.08 Ca.upf
Dy 162.50 Dy.upf
Ag 107.87 Ag.upf
Se 78.96 Se.upf
CELL_PARAMETERS angstrom
8.172 0.000 0.000
0.000 4.086 0.000
-2.115 0.000 9.053
ATOMIC_POSITIONS crystal
Ca 0.199 0.250 0.250
Ca 0.801 0.750 0.750
Dy 0.323 0.750 0.830
Dy 0.677 0.250 0.170
Ag 0.094 0.250 0.586
Ag 0.906 0.750 0.414
Se 0.085 0.250 0.867
Se 0.273 0.750 0.511
Se 0.425 0.750 0.152
Se 0.575 0.250 0.848
Se 0.727 0.250 0.489
Se 0.915 0.750 0.133
```

(6)
A relaxed Ca4Dy3AgSe8 crystal. Source: Alexandria, functional GGA-PBE. Values from VASP.

Results
The calculation puts the raw formation energy at -1733 meV/atom.

Geometry as Quantum ESPRESSO input:
```
&SYSTEM
  ibrav = 0, nat = 16, ntyp = 4
/
ATOMIC_SPECIES
Ca 40.08 Ca.upf
Dy 162.50 Dy.upf
Ag 107.87 Ag.upf
Se 78.96 Se.upf
CELL_PARAMETERS angstrom
4.137 2.389 6.785
-4.137 2.389 6.785
0.000 -4.777 6.785
ATOMIC_POSITIONS crystal
Ca 0.000 0.000 0.000
Ca 0.000 0.500 0.500
Ca 0.500 0.000 0.500
Ca 0.500 0.500 0.000
Dy 0.000 0.000 0.500
Dy 0.000 0.500 0.000
Dy 0.500 0.000 0.000
Ag 0.500 0.500 0.500
Se 0.245 0.750 0.750
Se 0.248 0.248 0.248
Se 0.250 0.250 0.755
Se 0.250 0.755 0.250
Se 0.750 0.245 0.750
Se 0.750 0.750 0.245
Se 0.752 0.752 0.752
Se 0.755 0.250 0.250
```

(7)
A relaxed CaDySiAg crystal. Source: Alexandria, functional GGA-PBE. Values from VASP.

Results
The calculation puts the raw formation energy at -423 meV/atom.

Geometry as Quantum ESPRESSO input:
```
&SYSTEM
  ibrav = 0, nat = 4, ntyp = 4
/
ATOMIC_SPECIES
Ca 40.08 Ca.upf
Dy 162.50 Dy.upf
Si 28.09 Si.upf
Ag 107.87 Ag.upf
CELL_PARAMETERS angstrom
0.000 3.590 3.590
3.590 0.000 3.590
3.590 3.590 0.000
ATOMIC_POSITIONS crystal
Ca 0.000 0.000 0.000
Dy 0.500 0.500 0.500
Si 0.750 0.750 0.750
Ag 0.250 0.250 0.250
```

(8)
A relaxed Ca3Dy2AgTe6 crystal. Source: Alexandria, functional GGA-PBE. Values from VASP.

Results
The calculation puts the raw formation energy at -1302 meV/atom.

Geometry as Quantum ESPRESSO input:
```
&SYSTEM
  ibrav = 0, nat = 12, ntyp = 4
/
ATOMIC_SPECIES
Ca 40.08 Ca.upf
Dy 162.50 Dy.upf
Ag 107.87 Ag.upf
Te 127.60 Te.upf
CELL_PARAMETERS angstrom
3.853 -6.667 0.000
3.853 6.667 0.000
-2.572 0.000 7.222
ATOMIC_POSITIONS crystal
Ca 0.000 0.000 0.000
Ca 0.334 0.666 0.000
Ca 0.666 0.334 0.000
Dy 0.167 0.833 0.500
Dy 0.833 0.167 0.500
Ag 0.500 0.500 0.500
Te 0.086 0.420 0.259
Te 0.246 0.246 0.741
Te 0.420 0.086 0.259
Te 0.580 0.914 0.741
Te 0.754 0.754 0.259
Te 0.914 0.580 0.741
```

(9)
A relaxed Ca3Dy3AgTe8 crystal. Source: Alexandria, functional GGA-PBE. Values from VASP.

Results
The calculation puts the raw formation energy at -1278 meV/atom.

Geometry as Quantum ESPRESSO input:
```
&SYSTEM
  ibrav = 0, nat = 15, ntyp = 4
/
ATOMIC_SPECIES
Ca 40.08 Ca.upf
Dy 162.50 Dy.upf
Ag 107.87 Ag.upf
Te 127.60 Te.upf
CELL_PARAMETERS angstrom
4.405 2.543 7.283
-4.405 2.543 7.283
0.000 -5.086 7.283
ATOMIC_POSITIONS crystal
Ca 0.000 0.500 0.500
Ca 0.500 0.000 0.500
Ca 0.500 0.500 0.000
Dy 0.000 0.000 0.500
Dy 0.000 0.500 0.000
Dy 0.500 0.000 0.000
Ag 0.500 0.500 0.500
Te 0.242 0.749 0.749
Te 0.248 0.248 0.248
Te 0.251 0.251 0.758
Te 0.251 0.758 0.251
Te 0.749 0.242 0.749
Te 0.749 0.749 0.242
Te 0.752 0.752 0.752
Te 0.758 0.251 0.251
```

(10)
A relaxed Ca4Dy3AgTe8 crystal. Source: Alexandria, functional GGA-PBE. Values from VASP.

Results
The calculation puts the raw formation energy at -1345 meV/atom.

Geometry as Quantum ESPRESSO input:
```
&SYSTEM
  ibrav = 0, nat = 16, ntyp = 4
/
ATOMIC_SPECIES
Ca 40.08 Ca.upf
Dy 162.50 Dy.upf
Ag 107.87 Ag.upf
Te 127.60 Te.upf
CELL_PARAMETERS angstrom
4.426 2.555 7.251
-4.426 2.555 7.251
0.000 -5.111 7.251
ATOMIC_POSITIONS crystal
Ca 0.000 0.000 0.000
Ca 0.000 0.500 0.500
Ca 0.500 0.000 0.500
Ca 0.500 0.500 0.000
Dy 0.000 0.000 0.500
Dy 0.000 0.500 0.000
Dy 0.500 0.000 0.000
Ag 0.500 0.500 0.500
Te 0.248 0.248 0.248
Te 0.248 0.747 0.747
Te 0.253 0.253 0.752
Te 0.253 0.752 0.253
Te 0.747 0.248 0.747
Te 0.747 0.747 0.248
Te 0.752 0.253 0.253
Te 0.752 0.752 0.752
```

(11)
A relaxed CaDyAg2Te4 crystal. Source: Alexandria, functional GGA-PBE. Values from VASP.

Results
The calculation puts the raw formation energy at -688 meV/atom.

Geometry as Quantum ESPRESSO input:
```
&SYSTEM
  ibrav = 0, nat = 8, ntyp = 4
/
ATOMIC_SPECIES
Ca 40.08 Ca.upf
Dy 162.50 Dy.upf
Ag 107.87 Ag.upf
Te 127.60 Te.upf
CELL_PARAMETERS angstrom
-3.730 3.849 4.403
3.730 -3.849 4.403
3.730 3.849 -4.403
ATOMIC_POSITIONS crystal
Ca 0.000 0.000 0.000
Dy 0.500 0.500 0.000
Ag 0.335 0.835 0.500
Ag 0.665 0.165 0.500
Te 0.081 0.560 0.986
Te 0.425 0.440 0.520
Te 0.575 0.095 0.014
Te 0.919 0.905 0.480
```

(12)
A relaxed CaDyTlAg crystal. Source: Alexandria, functional GGA-PBE. Values from VASP.

Results
For the energy of formation from the pure elements, the calculation gives -0.352 eV per atom.

Geometry as Quantum ESPRESSO input:
```
&SYSTEM
  ibrav = 0, nat = 4, ntyp = 4
/
ATOMIC_SPECIES
Ca 40.08 Ca.upf
Dy 162.50 Dy.upf
Tl 204.38 Tl.upf
Ag 107.87 Ag.upf
CELL_PARAMETERS angstrom
0.000 3.743 3.743
3.743 0.000 3.743
3.743 3.743 0.000
ATOMIC_POSITIONS crystal
Ca 0.000 0.000 0.000
Dy 0.500 0.500 0.500
Tl 0.750 0.750 0.750
Ag 0.250 0.250 0.250
```

(13)
A relaxed CaDyZnAg crystal. Source: Alexandria, functional GGA-PBE. Values from VASP.

Results
For the energy above the most stable polymorph in this dataset, the calculation gives 0 meV/atom. For the energy of formation from the pure elements, the calculation gives -0.308 eV per atom.

Geometry as Quantum ESPRESSO input:
```
&SYSTEM
  ibrav = 0, nat = 4, ntyp = 4
/
ATOMIC_SPECIES
Ca 40.08 Ca.upf
Dy 162.50 Dy.upf
Zn 65.41 Zn.upf
Ag 107.87 Ag.upf
CELL_PARAMETERS angstrom
3.655 0.000 0.000
0.000 3.655 0.000
0.000 0.000 7.260
ATOMIC_POSITIONS crystal
Ca 0.000 0.000 0.000
Dy 0.000 0.000 0.488
Zn 0.500 0.500 0.265
Ag 0.500 0.500 0.725
```